Ga2CoF after structural relaxation, computed with PBE+U.

Lattice parameters (Å, degrees): 4.3181 4.3181 4.3181 60.00 60.00 60.00
Site moments in Bohr magnetons follow the coordinates.
Fractional coordinates of all 4 atoms:
Co  0.5000  0.5000  0.5000  1.62
Ga  0.2500  0.2500  0.2500  -0.03
Ga  0.7500  0.7500  0.7500  -0.03
F  0.0000  0.0000  0.0000  -0.01

Summary:
V ... 56.9 Å³/cell
Electronic total energy ... -3.3208 eV per atom
Offset from the most stable computed form ... 161.2 meV per atom